Below is Li2ZrNi at its PBEsol-relaxed geometry, with properties calculated at the SCAN level.

Geometry as POSCAR:
```
Li2ZrNi
1.0
-0.3973 -4.0627 1.4824
3.7547 1.3046 -1.7798
3.5007 0.5720 2.5058
Li Ni Zr
2 1 1
Direct
0.0000 0.0000 0.0000 Li
0.2500 0.5000 0.2500 Li
0.5000 0.0000 0.5000 Ni
0.7500 0.5000 0.7500 Zr
```

- Energy above the most stable polymorph in this dataset: 0.057 eV/atom
- Size of the total moment: 0.00 μB/f.u.
- Calculated formation energy: 5.3 kJ/mol of atoms
- Theoretical density: 4.670 Mg/m³
- DOS(E_F): 3.755 states/eV/f.u.